(1)
Entry from Alexandria: an optimized crystal structure of SrPmHgPb (PBE).

a b c (Å): 3.9339 3.9339 8.0345
angles (deg): 90.00 90.00 90.00
Element x y z (fractional)
Sr 0.0000 0.0000 0.8472
Pm 0.0000 0.0000 0.3692
Hg 0.5000 0.5000 0.5886
Pb 0.5000 0.5000 0.1229

## Properties
Calculated total energy ... -3.119 eV/atom
E above lowest polymorph ... 0 meV/atom
SG ... P4mm (99)
Total magnetic moment ... 0.0 Bohr magnetons per cell
DFT formation energy ... -2.03 eV/f.u.

(2)
Entry from Alexandria: an optimized crystal structure of SrPmHgPb (PBE).

a b c (Å): 5.6024 5.6024 5.6024
angles (deg): 60.00 60.00 60.00
Element x y z (fractional)
Pb 0.5000 0.5000 0.5000
Sr 0.2500 0.2500 0.2500
Hg 0.0000 0.0000 0.0000
Pm 0.7500 0.7500 0.7500

## Properties
Calculated total energy ... -3.094 eV/atom
E above lowest polymorph ... 25 meV/atom
SG ... F-43m (216)
Total magnetic moment ... 0.0 Bohr magnetons per cell
DFT formation energy ... -1.94 eV/f.u.

(3)
Entry from Alexandria: an optimized crystal structure of TbPm2Hg2Pb2 (PBE).

a b c (Å): 5.1027 5.1027 9.5509
angles (deg): 74.51 74.51 60.00
Element x y z (fractional)
Tb 0.0000 0.0000 0.0000
Pm 0.1301 0.1301 0.6098
Pm 0.8699 0.8699 0.3902
Hg 0.5678 0.5678 0.2966
Hg 0.4322 0.4322 0.7034
Pb 0.7241 0.7241 0.8276
Pb 0.2759 0.2759 0.1724

## Properties
Calculated total energy ... -3.401 eV/atom
SG ... R-3m (166)
Total magnetic moment ... 0.0 Bohr magnetons per cell
DFT formation energy ... -1.66 eV/f.u.

(4)
Entry from Alexandria: an optimized crystal structure of TbPmHgPb (PBE).

a b c (Å): 5.4103 5.4103 5.4103
angles (deg): 60.00 60.00 60.00
Element x y z (fractional)
Pb 0.2500 0.2500 0.2500
Tb 0.0000 0.0000 0.0000
Hg 0.7500 0.7500 0.7500
Pm 0.5000 0.5000 0.5000

## Properties
Calculated total energy ... -3.830 eV/atom
SG ... F-43m (216)
Total magnetic moment ... 0.0 Bohr magnetons per cell
DFT formation energy ... -1.93 eV/f.u.